Record 1
Crystalline ZnIrSe2 at its relaxed geometry, computed with PBE.

Cell: 4.5889 4.5889 4.5889 Å, 60.00 60.00 60.00°
Fractional positions:
Zn (0.0000, 0.0000, 0.0000)
Ir (0.2500, 0.2500, 0.2500)
Se (0.5000, 0.5000, 0.5000)
Se (0.7500, 0.7500, 0.7500)

Computed properties:
ΔE_f (raw) = 572 meV/atom
M_tot = 0.00 Bohr magnetons per cell
Electronic total energy = -14.82 eV per cell
Volume = 17.08 Å³ per atom

---

Record 2
Crystalline ZnIrSe2 at its relaxed geometry, computed with PBE.

Cell: 2.9380 2.9380 8.9352 Å, 90.00 90.00 90.00°
Fractional positions:
Zn (0.0000, 0.0000, 0.0000)
Ir (0.5000, 0.5000, 0.2014)
Se (0.0000, 0.0000, 0.3770)
Se (0.5000, 0.5000, 0.7633)

Computed properties:
ΔE_f (raw) = 134 meV/atom
M_tot = 0.00 Bohr magnetons per cell
Electronic total energy = -16.57 eV per cell
Volume = 19.28 Å³ per atom

---

Record 3
Crystalline ZnIrSe2 at its relaxed geometry, computed with PBE.

Cell: 6.3788 6.3788 6.3788 Å, 153.59 138.77 49.63°
Fractional positions:
Zn (0.0000, 0.0000, 0.0000)
Ir (0.1979, 0.6979, 0.5000)
Se (0.3766, 0.3766, 0.0000)
Se (0.6593, 0.1593, 0.5000)

Computed properties:
ΔE_f (raw) = 142 meV/atom
M_tot = 0.00 Bohr magnetons per cell
Electronic total energy = -16.54 eV per cell
Volume = 18.95 Å³ per atom